Computed, not measured: a relaxed ScCrCl6 crystal at the PBE level of DFT.

a = 6.9070 Å, b = 6.9070 Å, c = 6.1553 Å
α = 92.08°, β = 92.08°, γ = 121.63°
Closest atoms and distances in Å follow each position.
Sites, in units of the cell vectors:
Sc1 0.0000 0.0000 0.0000  6 Cl 2.50
Cr1 0.0000 0.0000 0.5000  6 Cl 2.37
Cl1 0.0047 0.2752 0.2787  1 Cr 2.37, 1 Sc 2.50
Cl2 0.2752 0.0047 0.2787  1 Cr 2.37, 1 Sc 2.50
Cl3 0.2803 0.2803 0.7554  1 Cr 2.37, 1 Sc 2.50
Cl4 0.7197 0.7197 0.2446  1 Cr 2.37, 1 Sc 2.50
Cl5 0.7248 0.9953 0.7213  1 Cr 2.37, 1 Sc 2.50
Cl6 0.9953 0.7248 0.7213  1 Cr 2.37, 1 Sc 2.50

## Properties
crystal system = monoclinic
uncorrected formation energy = -1582 meV per atom
offset from the most stable computed form = 0.0000 eV/atom
volume = 31.17 A^3/atom